(1)
Crystalline NaCeGd2 at its relaxed geometry. Source: Alexandria, functional PBE.

Results
- space-group type = P4/mmm
- distance to the lowest polymorph of the same formula (kJ/mol of formula units) = 0.0

Cell: 3.505 3.505 10.540 Å, 90.00 90.00 90.00°
Element x y z (fractional)
Na  0.000  0.000  0.000
Ce  0.000  0.000  0.500
Gd  0.500  0.500  0.277
Gd  0.500  0.500  0.723

(2)
Crystalline NaCeGd2 at its relaxed geometry. Source: Alexandria, functional PBE.

Results
- space-group type = R-3m
- distance to the lowest polymorph of the same formula (kJ/mol of formula units) = 243.6

Cell: 10.569 10.569 10.569 Å, 22.52 22.52 22.52°
Element x y z (fractional)
Na  0.000  0.000  0.000
Ce  0.500  0.500  0.500
Gd  0.115  0.115  0.115
Gd  0.885  0.885  0.885

(3)
Crystalline NaCe2Gd at its relaxed geometry. Source: Alexandria, functional PBE.

Results
- space-group type = R-3m
- electronic total energy (eV per atom) = -6.58

Cell: 12.966 12.966 12.966 Å, 14.97 14.97 14.97°
Element x y z (fractional)
Na  0.000  0.000  0.000
Ce  0.091  0.091  0.091
Ce  0.909  0.909  0.909
Gd  0.500  0.500  0.500

| no. | total moment (μB per formula unit) |
| --- | --- |
| 1 | 14.17 |
| 2 | 14.17 |
| 3 | 5.07 |